## La2Pr3ThSe6 (PBE-GGA)

Data for an optimized crystal structure of La2Pr3ThSe6.

Cell: 9.5380 9.5380 8.5419 Å, 102.88 102.88 25.89°
Last column: nearest neighbours and their distance in Å.
Fractional positions:
La (0.1648, 0.1648, 0.3310)  6 Se 3.01-3.04
La (0.8352, 0.8352, 0.6690)  6 Se 3.01-3.04
Pr (0.1668, 0.1668, 0.8355)  6 Se 2.99-3.03
Pr (0.5000, 0.5000, 0.5000)  6 Se 3.03
Pr (0.8332, 0.8332, 0.1645)  6 Se 2.99-3.03
Th (0.5000, 0.5000, 0.0000)  6 Se 3.00-3.01
Se (0.0016, 0.0016, 0.7531)  3 Pr 2.99-3.03, 2 Th 3.01, 1 La 3.01
Se (0.3326, 0.3326, 0.4151)  3 Pr 3.03, 3 La 3.04
Se (0.3344, 0.3344, 0.9181)  1 Th 3.00, 3 Pr 3.00-3.03, 2 La 3.02
Se (0.6656, 0.6656, 0.0819)  1 Th 3.00, 3 Pr 3.00-3.03, 2 La 3.02
Se (0.6674, 0.6674, 0.5849)  3 Pr 3.03, 3 La 3.04
Se (0.9984, 0.9984, 0.2469)  3 Pr 2.99-3.03, 2 Th 3.01, 1 La 3.01

Properties
DOS at the Fermi energy   7.41 states/eV/f.u.
Final energy   -74.61 eV per cell

## LaSc3Re (PBE-GGA)

Data for an optimized crystal structure of LaSc3Re.

Cell: 5.1571 5.1571 5.1571 Å, 90.00 90.00 90.00°
Last column: nearest neighbours and their distance in Å.
Fractional positions:
La (0.0000, 0.0000, 0.0000)  12 Sc 3.65
Sc (0.0000, 0.5000, 0.5000)  2 Re 2.58
Sc (0.5000, 0.0000, 0.5000)  2 Re 2.58
Sc (0.5000, 0.5000, 0.0000)  2 Re 2.58
Re (0.5000, 0.5000, 0.5000)  6 Sc 2.58

Properties
DOS at the Fermi energy   6.21 states/eV/f.u.
Formation energy   0.59 eV per formula unit
E above lowest polymorph   0.0 meV/atom

## SrBe2P (PBE-GGA)

Data for an optimized crystal structure of SrBe2P.

Cell: 5.0308 5.0308 5.0308 Å, 136.19 103.82 92.26°
Last column: nearest neighbours and their distance in Å.
Fractional positions:
Sr (0.0000, 0.0000, 0.0000)  4 P 3.07-3.28, 4 Be 3.11-3.26
Be (0.4949, 0.4949, 0.0000)  2 P 2.14, 2 Be 2.15
Be (0.6445, 0.1445, 0.5000)  1 P 2.06, 2 Be 2.15
P (0.3487, 0.8487, 0.5000)  3 Be 2.06-2.14

Properties
DOS at the Fermi energy   1.50 states/eV/f.u.
Formation energy   -0.16 eV per formula unit

## V6FeNi8 (PBE-GGA)

Data for an optimized crystal structure of V6FeNi8.

Cell: 9.2680 9.2680 2.5533 Å, 90.00 90.00 120.00°
Last column: nearest neighbours and their distance in Å.
Fractional positions:
V (0.0953, 0.6278, 0.2371)  5 Ni 2.40-2.53, 4 V 2.45-2.55
V (0.3722, 0.4676, 0.2371)  5 Ni 2.40-2.53, 4 V 2.45-2.55
V (0.4676, 0.0953, 0.7629)  5 Ni 2.40-2.53, 4 V 2.45-2.55
V (0.5324, 0.9047, 0.2371)  5 Ni 2.40-2.53, 4 V 2.45-2.55
V (0.6278, 0.5324, 0.7629)  5 Ni 2.40-2.53, 4 V 2.45-2.55
V (0.9047, 0.3722, 0.7629)  5 Ni 2.40-2.53, 4 V 2.45-2.55
Fe (0.0000, 0.0000, 0.0000)  6 Ni 2.42, 2 Fe 2.55
Ni (0.0767, 0.2788, 0.2757)  3 V 2.40-2.53, 1 Fe 2.42, 4 Ni 2.55-2.58
Ni (0.2021, 0.9233, 0.2757)  3 V 2.40-2.53, 1 Fe 2.42, 4 Ni 2.55-2.58
Ni (0.2788, 0.2021, 0.7243)  3 V 2.40-2.53, 1 Fe 2.42, 4 Ni 2.55-2.58
Ni (0.3333, 0.6667, 0.7358)  6 V 2.41-2.42, 2 Ni 2.55
Ni (0.6667, 0.3333, 0.2642)  6 V 2.41-2.42, 2 Ni 2.55
Ni (0.7212, 0.7979, 0.2757)  3 V 2.40-2.53, 1 Fe 2.42, 4 Ni 2.55-2.58
Ni (0.7979, 0.0767, 0.7243)  3 V 2.40-2.53, 1 Fe 2.42, 4 Ni 2.55-2.58
Ni (0.9233, 0.7212, 0.7243)  3 V 2.40-2.53, 1 Fe 2.42, 4 Ni 2.55-2.58

Properties
DOS at the Fermi energy   13.22 states/eV/f.u.
Formation energy   2.41 eV per formula unit

## GeSeS3 (PBE-GGA)

Data for an optimized crystal structure of GeSeS3.

Cell: 5.2707 7.4324 8.3399 Å, 90.01 90.03 103.36°
Last column: nearest neighbours and their distance in Å.
Fractional positions:
Ge (0.0000, 0.0000, 0.0000)  2 S 2.42-2.57, 1 Se 2.50
Ge (0.0005, 0.4993, 0.1470)  2 S 2.42-2.57, 1 Se 2.50
Se (0.3044, 0.3785, 0.3257)  1 S 2.27, 1 Ge 2.50
Se (0.3035, 0.8783, 0.8217)  1 S 2.27, 1 Ge 2.50
S (0.0613, 0.2474, 0.8053)  1 S 2.06
S (0.0606, 0.7474, 0.3411)  1 S 2.06
S (0.3989, 0.1508, 0.1708)  1 S 2.09, 1 Se 2.27
S (0.3987, 0.6507, 0.9764)  1 S 2.09, 1 Se 2.27
S (0.4214, 0.4235, 0.8347)  2 S 2.06-2.09
S (0.4209, 0.9234, 0.3125)  2 S 2.06-2.09

Properties
DOS at the Fermi energy   0.00 states/eV/f.u.
E above lowest polymorph   0.0 meV/atom

## CsMgCd2Pb4 (PBE-GGA)

Data for an optimized crystal structure of CsMgCd2Pb4.

Cell: 11.6223 11.6223 11.6223 Å, 26.35 26.35 26.35°
Last column: nearest neighbours and their distance in Å.
Fractional positions:
Cs (0.0000, 0.0000, 0.0000)  6 Pb 4.01, 6 Cd 4.37
Mg (0.5000, 0.5000, 0.5000)  8 Pb 3.01-3.24
Cd (0.2407, 0.2407, 0.2407)  6 Pb 3.10-3.37
Cd (0.7593, 0.7593, 0.7593)  6 Pb 3.10-3.37
Pb (0.1346, 0.1346, 0.1346)  3 Mg 3.24, 4 Cd 3.37-3.57, 3 Pb 3.62
Pb (0.4106, 0.4106, 0.4106)  1 Mg 3.01, 3 Cd 3.10
Pb (0.5894, 0.5894, 0.5894)  1 Mg 3.01, 3 Cd 3.10
Pb (0.8654, 0.8654, 0.8654)  3 Mg 3.24, 4 Cd 3.37-3.57, 3 Pb 3.62

Properties
DOS at the Fermi energy   4.19 states/eV/f.u.
Formation energy   -0.39 eV per formula unit

## YMgSc2H (PBE-GGA)

Data for an optimized crystal structure of YMgSc2H.

Cell: 4.6378 4.6378 4.8031 Å, 90.00 90.00 90.00°
Last column: nearest neighbours and their distance in Å.
Fractional positions:
Y (0.0000, 0.0000, 0.0000)  2 H 2.40
Mg (0.5000, 0.5000, 0.0000)  4 Y 3.28, 8 Sc 3.34
Sc (0.0000, 0.5000, 0.5000)  2 H 2.32
Sc (0.5000, 0.0000, 0.5000)  2 H 2.32
H (0.0000, 0.0000, 0.5000)  4 Sc 2.32, 2 Y 2.40

Properties
DOS at the Fermi energy   6.29 states/eV/f.u.
E above lowest polymorph   0.0 meV/atom

## AcTlCd (PBE-GGA)

Data for an optimized crystal structure of AcTlCd.

Cell: 6.5209 6.5209 8.1593 Å, 128.46 128.46 46.74°
Last column: nearest neighbours and their distance in Å.
Fractional positions:
Ac (0.0307, 0.0307, 0.2808)  6 Tl 3.52-3.77, 6 Cd 3.52-3.70
Ac (0.9693, 0.9693, 0.7192)  6 Tl 3.52-3.77, 6 Cd 3.52-3.70
Tl (0.3317, 0.3317, 0.2806)  3 Cd 3.00-3.31, 1 Tl 3.08
Tl (0.6683, 0.6683, 0.7194)  3 Cd 3.00-3.31, 1 Tl 3.08
Cd (0.3399, 0.3399, 0.8832)  1 Cd 2.90, 2 Tl 3.00
Cd (0.6601, 0.6601, 0.1168)  1 Cd 2.90, 2 Tl 3.00

Properties
DOS at the Fermi energy   1.88 states/eV/f.u.
Formation energy   -1.03 eV per formula unit
E above lowest polymorph   0.0 meV/atom

## Cs3LiNp2Se6 (PBE-GGA)

Data for an optimized crystal structure of Cs3LiNp2Se6.

Cell: 7.4169 7.4169 8.6481 Å, 98.10 98.10 120.08°
Last column: nearest neighbours and their distance in Å.
Fractional positions:
Cs (0.0000, 0.0000, 0.0000)  6 Se 3.56-3.66
Cs (0.3412, 0.6588, 0.0000)  6 Se 3.58-3.65
Cs (0.6588, 0.3412, 0.0000)  6 Se 3.58-3.65
Li (0.5000, 0.5000, 0.5000)  6 Se 2.96-3.02
Np (0.1671, 0.8329, 0.5000)  6 Se 2.84-2.85
Np (0.8329, 0.1671, 0.5000)  6 Se 2.84-2.85
Se (0.0881, 0.4392, 0.3162)  2 Np 2.85, 1 Li 3.02
Se (0.2120, 0.2120, 0.6784)  2 Np 2.84, 1 Li 2.96
Se (0.4392, 0.0881, 0.3162)  2 Np 2.85, 1 Li 3.02
Se (0.5608, 0.9119, 0.6838)  2 Np 2.85, 1 Li 3.02
Se (0.7880, 0.7880, 0.3216)  2 Np 2.84, 1 Li 2.96
Se (0.9119, 0.5608, 0.6838)  2 Np 2.85, 1 Li 3.02

Properties
DOS at the Fermi energy   15.87 states/eV/f.u.
Final energy   -65.66 eV per cell

## YLuV4 (PBE-GGA)

Data for an optimized crystal structure of YLuV4.

Cell: 5.4304 5.4304 5.4304 Å, 60.00 60.00 60.00°
Last column: nearest neighbours and their distance in Å.
Fractional positions:
Y (0.0000, 0.0000, 0.0000)  12 V 3.19, 4 Lu 3.33
Lu (0.2500, 0.2500, 0.2500)  12 V 3.18, 4 Y 3.33
V (0.1299, 0.6234, 0.6234)  6 V 2.68-2.75
V (0.6234, 0.1299, 0.6234)  6 V 2.68-2.75
V (0.6234, 0.6234, 0.1299)  6 V 2.68-2.75
V (0.6234, 0.6234, 0.6234)  6 V 2.68-2.75

Properties
DOS at the Fermi energy   12.20 states/eV/f.u.
Formation energy   2.06 eV per formula unit

## NaFeH2W (PBE-GGA)

Data for an optimized crystal structure of NaFeH2W.

Cell: 3.8192 3.8192 4.4926 Å, 90.00 90.00 90.00°
Last column: nearest neighbours and their distance in Å.
Fractional positions:
Na (0.0000, 0.0000, 0.0000)  4 W 2.70, 8 H 2.95
Fe (0.5000, 0.5000, 0.5000)  4 H 1.91
H (0.0000, 0.5000, 0.5000)  2 Fe 1.91
H (0.5000, 0.0000, 0.5000)  2 Fe 1.91
W (0.5000, 0.5000, 0.0000)  2 Fe 2.25

Properties
DOS at the Fermi energy   4.96 states/eV/f.u.
Final energy   -22.71 eV per cell

## CsLiInTe (PBE-GGA)

Data for an optimized crystal structure of CsLiInTe.

Cell: 4.5420 4.5420 15.3635 Å, 90.00 90.00 90.00°
Last column: nearest neighbours and their distance in Å.
Fractional positions:
Cs (0.2500, 0.2500, 0.2318)  4 Te 3.74
Cs (0.7500, 0.7500, 0.7682)  4 Te 3.74
Li (0.2500, 0.7500, 0.0000)  4 Te 2.81
Li (0.7500, 0.2500, 0.0000)  4 Te 2.81
In (0.2500, 0.7500, 0.5000)  4 In 3.21
In (0.7500, 0.2500, 0.5000)  4 In 3.21
Te (0.2500, 0.2500, 0.8927)  4 Li 2.81
Te (0.7500, 0.7500, 0.1073)  4 Li 2.81

Properties
DOS at the Fermi energy   3.19 states/eV/f.u.
Final energy   -22.35 eV per cell